Record 1
A plane-wave DFT calculation with GGA-PBE was carried out for a geometry-optimized CeHo7Tm3 structure.

a b c (Å): 6.976 6.976 8.509
angles (deg): 90.00 90.00 120.00
Positions (direct):
Ce  0.000  0.000  0.000
Ho  0.002  0.501  0.001
Ho  0.329  0.164  0.669
Ho  0.333  0.667  0.666
Ho  0.499  0.501  0.001
Ho  0.499  0.998  0.001
Ho  0.836  0.164  0.669
Ho  0.836  0.671  0.669
Tm  0.166  0.331  0.333
Tm  0.166  0.834  0.333
Tm  0.669  0.834  0.333

Computed properties:
The formation energy from the elements is 210 meV/atom. The calculation puts the density of states at the Fermi level at 19.69 states/eV/f.u. The value obtained for the volume is 32.60 Å³ per atom. The space group is P3m1.


Record 2
A plane-wave DFT calculation with GGA-PBE was carried out for a geometry-optimized CeHo2Tm structure.

a b c (Å): 4.952 4.952 4.968
angles (deg): 90.00 90.00 90.00
Positions (direct):
Ce  0.000  0.000  0.000
Ho  0.000  0.500  0.500
Ho  0.500  0.000  0.500
Tm  0.500  0.500  0.000

Computed properties:
The energy above the most stable polymorph in this dataset is 10 meV per atom. The formation energy from the elements is 65 meV/atom. The calculation puts the density of states at the Fermi level at 6.78 states/eV/f.u. The value obtained for the volume is 30.46 Å³ per atom. The space group is P4/mmm.